(P)
CaZrSCl2 | Alexandria | PBE-GGA | relaxed; calculated volume = 127 Å³ per cell; space-group type = P4/mmm
1.0
-4.123 2.801 0.518
-1.358 -1.133 -4.689
-2.535 -4.049 1.713
S Ca Cl Zr
1 1 2 1
Direct
0.000 0.000 0.500
0.500 0.500 0.500
0.000 0.500 0.000
0.500 0.000 0.000
0.000 0.000 0.000

=====

(Q)
CaZrSCl2 | Alexandria | PBE-GGA | relaxed; calculated volume = 137 Å³ per cell; space-group type = P4/mmm
1.0
5.003 0.000 0.000
0.000 5.003 0.000
0.000 0.000 5.475
Ca Zr Cl S
1 1 2 1
Direct
0.000 0.000 0.000
0.500 0.500 0.500
0.000 0.500 0.000
0.500 0.000 0.000
0.000 0.000 0.500

=====

Most stable = (P)

=====

(P)
CaSbCl | Alexandria | PBE-GGA | relaxed; calculated volume = 83 Å³ per cell; space-group type = P-6m2
1.0
-1.024 -3.557 3.323
-2.094 -0.132 -4.509
2.979 -2.093 -1.322
Sb Cl Ca
1 1 1
Direct
0.333 0.667 0.667
0.667 0.333 0.167
0.000 0.000 0.167

=====

(Q)
CaSbCl | Alexandria | PBE-GGA | relaxed; calculated volume = 91 Å³ per cell; space-group type = F-43m
1.0
-1.113 2.358 -4.334
-4.713 1.621 -0.859
-1.010 4.956 0.004
Sb Cl Ca
1 1 1
Direct
0.000 0.000 0.000
0.750 0.750 0.750
0.500 0.500 0.500

=====

Most stable = (P)